A plane-wave DFT calculation with PBE was carried out for DyMgAg3 after structural relaxation.

Structure (CIF):
```
data_DyMgAg3
_chemical_formula_sum 'Dy2 Mg2 Ag6'
_symmetry_space_group_name_H-M 'P 1 21/m 1'
_symmetry_Int_Tables_number 11
_symmetry_space_group_name_Hall '-P 2yb'
_cell_length_a 5.379
_cell_length_b 5.773
_cell_length_c 6.823
_cell_angle_alpha 90.00
_cell_angle_beta 92.00
_cell_angle_gamma 90.00
loop_
_atom_site_label
_atom_site_type_symbol
_atom_site_fract_x
_atom_site_fract_y
_atom_site_fract_z
_atom_site_occupancy
Dy1 Dy 0.148 0.250 0.359 1
Mg1 Mg 0.098 0.750 0.100 1
Ag1 Ag 0.342 0.750 0.455 1
Ag2 Ag 0.351 0.004 0.817 1
```

Summary:
ΔH_f (0 K) in eV/atom: -0.195
Calculated total energy in Ry/atom: -0.2312
Volume in Å³ per atom: 21.17


A plane-wave DFT calculation with PBE was carried out for Tb3AlAs2Rh9 after structural relaxation.

Structure (CIF):
```
data_Tb3AlAs2Rh9
_chemical_formula_sum 'Tb3 Al1 As2 Rh9'
_symmetry_space_group_name_H-M 'P -3 m 1'
_symmetry_Int_Tables_number 164
_symmetry_space_group_name_Hall '-P 3 2"'
_cell_length_a 6.2433
_cell_length_b 6.2433
_cell_length_c 8.9710
_cell_angle_alpha 90.00
_cell_angle_beta 90.00
_cell_angle_gamma 120.00
loop_
_atom_site_label
_atom_site_type_symbol
_atom_site_fract_x
_atom_site_fract_y
_atom_site_fract_z
_atom_site_occupancy
Tb1 Tb 0.0000 0.0000 0.0000 1
Tb2 Tb 0.3333 0.6667 0.7214 1
Al1 Al 0.0000 0.0000 0.5000 1
As1 As 0.3333 0.6667 0.1753 1
Rh1 Rh 0.0000 0.5000 0.0000 1
Rh2 Rh 0.1407 0.2813 0.2774 1
```

Summary:
ΔH_f (0 K) in eV/atom: -0.445
Calculated total energy in Ry/atom: -0.4889
Volume in Å³ per atom: 20.19


A plane-wave DFT calculation with PBE was carried out for NpZnSnRu after structural relaxation.

Structure (CIF):
```
data_NpZnSnRu
_chemical_formula_sum 'Np4 Zn4 Sn4 Ru4'
_symmetry_space_group_name_H-M 'F -4 3 m'
_symmetry_Int_Tables_number 216
_symmetry_space_group_name_Hall 'F -4 2 3'
_cell_length_a 6.743
_cell_length_b 6.743
_cell_length_c 6.743
_cell_angle_alpha 90.00
_cell_angle_beta 90.00
_cell_angle_gamma 90.00
loop_
_atom_site_label
_atom_site_type_symbol
_atom_site_fract_x
_atom_site_fract_y
_atom_site_fract_z
_atom_site_occupancy
Np1 Np 0.000 0.000 0.000 1
Zn1 Zn 0.250 0.250 0.250 1
Sn1 Sn 0.000 0.000 0.500 1
Ru1 Ru 0.250 0.250 0.750 1
```

Summary:
ΔH_f (0 K) in eV/atom: 0.066
Calculated total energy in Ry/atom: -0.5003
Volume in Å³ per atom: 19.16


A plane-wave DFT calculation with PBE was carried out for DyErTh2Se4 after structural relaxation.

Structure (CIF):
```
data_DyErTh2Se4
_chemical_formula_sum 'Dy1 Er1 Th2 Se4'
_symmetry_space_group_name_H-M 'P 1 2/m 1'
_symmetry_Int_Tables_number 10
_symmetry_space_group_name_Hall '-P 2y'
_cell_length_a 6.928
_cell_length_b 4.035
_cell_length_c 7.508
_cell_angle_alpha 90.00
_cell_angle_beta 108.24
_cell_angle_gamma 90.00
loop_
_atom_site_label
_atom_site_type_symbol
_atom_site_fract_x
_atom_site_fract_y
_atom_site_fract_z
_atom_site_occupancy
Dy1 Dy 0.000 0.000 0.000 1
Er1 Er 0.500 0.500 0.000 1
Th1 Th 0.000 0.500 0.500 1
Th2 Th 0.500 0.000 0.500 1
Se1 Se 0.246 0.500 0.232 1
Se2 Se 0.258 0.000 0.769 1
```

Summary:
Uncorrected formation energy in meV per atom: -1625.0
Calculated total energy in Ry/atom: -0.4680
Volume in Å³ per atom: 24.92


A plane-wave DFT calculation with PBE was carried out for CdAsIr2 after structural relaxation.

Structure (CIF):
```
data_CdAsIr2
_chemical_formula_sum 'Cd3 As3 Ir6'
_symmetry_space_group_name_H-M 'R -3 m'
_symmetry_Int_Tables_number 166
_symmetry_space_group_name_Hall '-R 3 2"'
_cell_length_a 2.9831
_cell_length_b 2.9831
_cell_length_c 25.4365
_cell_angle_alpha 90.00
_cell_angle_beta 90.00
_cell_angle_gamma 120.00
loop_
_atom_site_label
_atom_site_type_symbol
_atom_site_fract_x
_atom_site_fract_y
_atom_site_fract_z
_atom_site_occupancy
Cd1 Cd 0.0000 0.0000 0.0000 1
As1 As 0.0000 0.0000 0.5000 1
Ir1 Ir 0.0000 0.0000 0.2402 1
```

Summary:
ΔH_f (0 K) in eV/atom: 0.109
Calculated total energy in Ry/atom: -0.4198
Polymorph energy (0 for the lowest one) in meV/atom: 18
Volume in Å³ per atom: 16.34


A plane-wave DFT calculation with PBE was carried out for ZrTa2GaS after structural relaxation.

Structure (CIF):
```
data_ZrTa2GaS
_chemical_formula_sum 'Zr1 Ta2 Ga1 S1'
_symmetry_space_group_name_H-M 'P 4/m m m'
_symmetry_Int_Tables_number 123
_symmetry_space_group_name_Hall '-P 4 2'
_cell_length_a 4.514
_cell_length_b 4.514
_cell_length_c 4.889
_cell_angle_alpha 90.00
_cell_angle_beta 90.00
_cell_angle_gamma 90.00
loop_
_atom_site_label
_atom_site_type_symbol
_atom_site_fract_x
_atom_site_fract_y
_atom_site_fract_z
_atom_site_occupancy
Zr1 Zr 0.000 0.000 0.000 1
Ta1 Ta 0.000 0.500 0.500 1
Ga1 Ga 0.500 0.500 0.000 1
S1 S 0.000 0.000 0.500 1
```

Summary:
Uncorrected formation energy in meV per atom: 92.2
Calculated total energy in Ry/atom: -0.5725
Volume in Å³ per atom: 19.92


A plane-wave DFT calculation with PBE was carried out for KSb2P after structural relaxation.

Structure (CIF):
```
data_KSb2P
_chemical_formula_sum 'K2 Sb4 P2'
_symmetry_space_group_name_H-M 'C 1 2/m 1'
_symmetry_Int_Tables_number 12
_symmetry_space_group_name_Hall '-C 2y'
_cell_length_a 11.271
_cell_length_b 3.724
_cell_length_c 6.055
_cell_angle_alpha 90.00
_cell_angle_beta 110.64
_cell_angle_gamma 90.00
loop_
_atom_site_label
_atom_site_type_symbol
_atom_site_fract_x
_atom_site_fract_y
_atom_site_fract_z
_atom_site_occupancy
K1 K 0.000 0.000 0.000 1
Sb1 Sb 0.192 0.000 0.631 1
P1 P 0.000 0.500 0.500 1
```

Summary:
Uncorrected formation energy in meV per atom: -62.4
Calculated total energy in Ry/atom: -0.2757
Volume in Å³ per atom: 29.73


A plane-wave DFT calculation with PBE was carried out for ZnInBr3 after structural relaxation.

Structure (CIF):
```
data_ZnInBr3
_chemical_formula_sum 'Zn1 In1 Br3'
_symmetry_space_group_name_H-M 'P 1'
_symmetry_Int_Tables_number 1
_symmetry_space_group_name_Hall 'P 1'
_cell_length_a 4.008
_cell_length_b 6.688
_cell_length_c 6.826
_cell_angle_alpha 103.56
_cell_angle_beta 90.23
_cell_angle_gamma 90.01
loop_
_atom_site_label
_atom_site_type_symbol
_atom_site_fract_x
_atom_site_fract_y
_atom_site_fract_z
_atom_site_occupancy
Zn1 Zn 0.000 0.000 0.000 1
In1 In 0.498 0.402 0.645 1
Br1 Br 0.000 0.362 0.001 1
Br2 Br 0.502 0.926 0.188 1
Br3 Br 0.999 0.782 0.663 1
```

Summary:
Uncorrected formation energy in meV per atom: -776.7
Calculated total energy in Ry/atom: -0.1898
Polymorph energy (0 for the lowest one) in meV/atom: 16
Volume in Å³ per atom: 35.57


A plane-wave DFT calculation with PBE was carried out for Ta2CuRh after structural relaxation.

Structure (CIF):
```
data_Ta2CuRh
_chemical_formula_sum 'Ta2 Cu1 Rh1'
_symmetry_space_group_name_H-M 'P 4/m m m'
_symmetry_Int_Tables_number 123
_symmetry_space_group_name_Hall '-P 4 2'
_cell_length_a 3.354
_cell_length_b 3.354
_cell_length_c 5.611
_cell_angle_alpha 90.00
_cell_angle_beta 90.00
_cell_angle_gamma 90.00
loop_
_atom_site_label
_atom_site_type_symbol
_atom_site_fract_x
_atom_site_fract_y
_atom_site_fract_z
_atom_site_occupancy
Ta1 Ta 0.000 0.000 0.247 1
Cu1 Cu 0.500 0.500 0.000 1
Rh1 Rh 0.500 0.500 0.500 1
```

Summary:
ΔH_f (0 K) in eV/atom: -0.073
Calculated total energy in Ry/atom: -0.6513
Volume in Å³ per atom: 15.78


A plane-wave DFT calculation with PBE was carried out for RbZrTc after structural relaxation.

Structure (CIF):
```
data_RbZrTc
_chemical_formula_sum 'Rb4 Zr4 Tc4'
_symmetry_space_group_name_H-M 'C 1 m 1'
_symmetry_Int_Tables_number 8
_symmetry_space_group_name_Hall 'C -2y'
_cell_length_a 7.924
_cell_length_b 4.575
_cell_length_c 12.310
_cell_angle_alpha 90.00
_cell_angle_beta 90.19
_cell_angle_gamma 90.00
loop_
_atom_site_label
_atom_site_type_symbol
_atom_site_fract_x
_atom_site_fract_y
_atom_site_fract_z
_atom_site_occupancy
Rb1 Rb 0.000 0.000 0.000 1
Rb2 Rb 0.171 0.500 0.648 1
Zr1 Zr 0.168 0.500 0.263 1
Zr2 Zr 0.336 0.000 0.414 1
Tc1 Tc 0.002 0.000 0.321 1
Tc2 Tc 0.334 0.000 0.217 1
```

Summary:
ΔH_f (0 K) in eV/atom: 0.421
Calculated total energy in Ry/atom: -0.4561
Polymorph energy (0 for the lowest one) in meV/atom: 158
Volume in Å³ per atom: 37.19


A plane-wave DFT calculation with PBE was carried out for LuAlH after structural relaxation.

Structure (CIF):
```
data_LuAlH
_chemical_formula_sum 'Lu2 Al2 H2'
_symmetry_space_group_name_H-M 'I 4 m m'
_symmetry_Int_Tables_number 107
_symmetry_space_group_name_Hall 'I 4 -2'
_cell_length_a 3.045
_cell_length_b 3.045
_cell_length_c 10.829
_cell_angle_alpha 90.00
_cell_angle_beta 90.00
_cell_angle_gamma 90.00
loop_
_atom_site_label
_atom_site_type_symbol
_atom_site_fract_x
_atom_site_fract_y
_atom_site_fract_z
_atom_site_occupancy
Lu1 Lu 0.000 0.000 0.000 1
Al1 Al 0.000 0.000 0.284 1
H1 H 0.000 0.000 0.543 1
```

Summary:
Calculated total energy in Ry/atom: -0.2861
Polymorph energy (0 for the lowest one) in meV/atom: 305
Volume in Å³ per atom: 16.74


A plane-wave DFT calculation with PBE was carried out for Np2AlCo3Ge4 after structural relaxation.

Structure (CIF):
```
data_Np2AlCo3Ge4
_chemical_formula_sum 'Np2 Al1 Co3 Ge4'
_symmetry_space_group_name_H-M 'P -4 m 2'
_symmetry_Int_Tables_number 115
_symmetry_space_group_name_Hall 'P -4 -2'
_cell_length_a 4.010
_cell_length_b 4.010
_cell_length_c 10.200
_cell_angle_alpha 90.00
_cell_angle_beta 90.00
_cell_angle_gamma 90.00
loop_
_atom_site_label
_atom_site_type_symbol
_atom_site_fract_x
_atom_site_fract_y
_atom_site_fract_z
_atom_site_occupancy
Np1 Np 0.000 0.500 0.237 1
Al1 Al 0.000 0.000 0.500 1
Co1 Co 0.000 0.500 0.875 1
Co2 Co 0.500 0.500 0.500 1
Ge1 Ge 0.000 0.000 0.000 1
Ge2 Ge 0.000 0.500 0.648 1
Ge3 Ge 0.500 0.500 0.000 1
```

Summary:
ΔH_f (0 K) in eV/atom: -0.269
Calculated total energy in Ry/atom: -0.5299
Volume in Å³ per atom: 16.40